[1]
DFT (PBE) results for an optimized crystal structure of NbHPd.

a b c (Å): 4.7465 2.8774 5.1323
angles (deg): 90.00 90.00 90.00
Closest atoms and distances in Å follow each position.
Sites, in units of the cell vectors:
Nb: 0.2500 0.0000 0.1798  4 H 2.08
Nb: 0.7500 0.0000 0.8202  4 H 2.08
H: 0.0000 0.5000 0.0000  4 Nb 2.08, 2 Pd 2.15
H: 0.5000 0.5000 0.0000  4 Nb 2.08, 2 Pd 2.15
Pd: 0.2500 0.5000 0.6516  2 H 2.15
Pd: 0.7500 0.5000 0.3484  2 H 2.15

Summary:
The mass density comes out at 9.49 g/cm3. The calculation puts the energy above the most stable polymorph in this dataset at 8.5 meV/atom. The spin magnetization is 0.000 μB per atom. As for the symmetry: No. 51. The calculation puts the density of states at the Fermi level at 2.0 states/eV/f.u.

=====

[2]
DFT (PBE) results for an optimized crystal structure of Ca2CuPd.

a b c (Å): 5.7699 4.3569 8.1118
angles (deg): 90.00 110.26 90.00
Closest atoms and distances in Å follow each position.
Sites, in units of the cell vectors:
Ca: 0.2154 0.2500 0.4314  3 Cu 3.04-3.09, 4 Pd 3.05-3.15
Ca: 0.2209 0.2500 0.9286  4 Cu 3.01-3.16, 3 Pd 3.03-3.06
Ca: 0.7791 0.7500 0.0714  4 Cu 3.01-3.16, 3 Pd 3.03-3.06
Ca: 0.7846 0.7500 0.5686  3 Cu 3.04-3.09, 4 Pd 3.05-3.15
Cu: 0.3638 0.7500 0.2166  2 Pd 2.62
Cu: 0.6362 0.2500 0.7834  2 Pd 2.62
Pd: 0.3662 0.7500 0.7170  2 Cu 2.62
Pd: 0.6338 0.2500 0.2830  2 Cu 2.62

Summary:
Its formation energy from the elements is -453 meV/atom. The mass density comes out at 4.34 g/cm3. The spin magnetization is 0.000 μB per atom. As for the symmetry: No. 11. The calculation puts the density of states at the Fermi level at 1.4 states/eV/f.u.

=====

[3]
DFT (PBE) results for an optimized crystal structure of Tb6HoS8.

a b c (Å): 7.8343 7.8343 7.8343
angles (deg): 60.00 60.00 60.00
Closest atoms and distances in Å follow each position.
Sites, in units of the cell vectors:
Tb: 0.0000 0.0000 0.5000  6 S 2.77
Tb: 0.0000 0.5000 0.0000  6 S 2.77
Tb: 0.0000 0.5000 0.5000  6 S 2.77
Tb: 0.5000 0.0000 0.0000  6 S 2.77
Tb: 0.5000 0.0000 0.5000  6 S 2.77
Tb: 0.5000 0.5000 0.0000  6 S 2.77
Ho: 0.0000 0.0000 0.0000  6 S 2.76
S: 0.2489 0.2489 0.7511  1 Ho 2.76, 4 Tb 2.77
S: 0.2489 0.7511 0.2489  1 Ho 2.76, 4 Tb 2.77
S: 0.2489 0.7511 0.7511  1 Ho 2.76, 4 Tb 2.77
S: 0.2500 0.2500 0.2500  6 Tb 2.77
S: 0.7500 0.7500 0.7500  6 Tb 2.77
S: 0.7511 0.2489 0.2489  1 Ho 2.76, 4 Tb 2.77
S: 0.7511 0.2489 0.7511  1 Ho 2.76, 4 Tb 2.77
S: 0.7511 0.7511 0.2489  1 Ho 2.76, 4 Tb 2.77

Summary:
The mass density comes out at 6.72 g/cm3. The uncorrected formation energy is -2.06 eV/atom. The spin magnetization is 0.000 μB per atom. As for the symmetry: No. 225. The calculation puts the density of states at the Fermi level at 6.4 states/eV/f.u.

=====

[4]
DFT (PBE) results for an optimized crystal structure of KPd2Cl.

a b c (Å): 4.8710 4.8710 4.8710
angles (deg): 60.00 60.00 60.00
Closest atoms and distances in Å follow each position.
Sites, in units of the cell vectors:
K: 0.0000 0.0000 0.0000  8 Pd 2.98
Pd: 0.2500 0.2500 0.2500  4 Cl 2.98, 4 K 2.98
Pd: 0.7500 0.7500 0.7500  4 K 2.98, 4 Cl 2.98
Cl: 0.5000 0.5000 0.5000  8 Pd 2.98

Summary:
The mass density comes out at 5.84 g/cm3. The calculation puts the energy above the most stable polymorph in this dataset at 430.3 meV/atom. The uncorrected formation energy is 0.24 eV/atom. The spin magnetization is 0.000 μB per atom. As for the symmetry: No. 225. The calculation puts the density of states at the Fermi level at 4.6 states/eV/f.u.

=====

[5]
DFT (PBE) results for an optimized crystal structure of Ce7Ge2Pb2.

a b c (Å): 7.2464 7.2464 6.7490
angles (deg): 90.00 90.00 107.51
Closest atoms and distances in Å follow each position.
Sites, in units of the cell vectors:
Ce: 0.0000 0.0000 0.0000  2 Ge 3.07
Ce: 0.0000 0.5000 0.2962  1 Ce 2.75, 2 Ge 2.93
Ce: 0.0000 0.5000 0.7038  1 Ce 2.75, 2 Ge 2.93
Ce: 0.5000 0.0000 0.2962  1 Ce 2.75, 2 Ge 2.93
Ce: 0.5000 0.0000 0.7038  1 Ce 2.75, 2 Ge 2.93
Ce: 0.5000 0.5000 0.2082  1 Ce 2.81, 2 Ge 3.11
Ce: 0.5000 0.5000 0.7918  1 Ce 2.81, 2 Ge 3.11
Ge: 0.2628 0.7372 0.0000  7 Ce 2.93-3.11
Ge: 0.7372 0.2628 0.0000  7 Ce 2.93-3.11
Pb: 0.1822 0.1822 0.5000  1 Pb 3.12, 6 Ce 3.28-3.36
Pb: 0.8178 0.8178 0.5000  1 Pb 3.12, 6 Ce 3.28-3.36

Summary:
Its formation energy from the elements is -243 meV/atom. The mass density comes out at 7.57 g/cm3. The spin magnetization is 0.698 μB per atom. As for the symmetry: No. 65. The calculation puts the density of states at the Fermi level at 34.9 states/eV/f.u.

=====

[6]
DFT (PBE) results for an optimized crystal structure of Li2TlAgPd.

a b c (Å): 5.4517 6.8460 5.0485
angles (deg): 90.00 90.00 90.00
Closest atoms and distances in Å follow each position.
Sites, in units of the cell vectors:
Li: 0.2500 0.2080 0.1858  2 Pd 2.60, 1 Ag 2.63, 1 Tl 2.83, 1 Li 2.85
Li: 0.2500 0.7920 0.1858  2 Pd 2.60, 1 Ag 2.63, 1 Tl 2.83, 1 Li 2.85
Li: 0.7500 0.2080 0.8142  2 Pd 2.60, 1 Ag 2.63, 1 Tl 2.83, 1 Li 2.85
Li: 0.7500 0.7920 0.8142  2 Pd 2.60, 1 Ag 2.63, 1 Tl 2.83, 1 Li 2.85
Tl: 0.2500 0.0000 0.7009  8 Li 2.83-3.13
Tl: 0.7500 0.0000 0.2991  8 Li 2.83-3.13
Ag: 0.2500 0.5000 0.5232  2 Li 2.63, 2 Ag 2.74, 2 Pd 2.77
Ag: 0.7500 0.5000 0.4768  2 Li 2.63, 2 Ag 2.74, 2 Pd 2.77
Pd: 0.0000 0.5000 0.0000  4 Li 2.60, 2 Pd 2.73, 2 Ag 2.77
Pd: 0.5000 0.5000 0.0000  4 Li 2.60, 2 Pd 2.73, 2 Ag 2.77

Summary:
Its formation energy from the elements is -139 meV/atom. The mass density comes out at 7.62 g/cm3. The spin magnetization is 0.000 μB per atom. As for the symmetry: No. 51. The calculation puts the density of states at the Fermi level at 2.1 states/eV/f.u.

=====

[7]
DFT (PBE) results for an optimized crystal structure of PrPa2Sn9.

a b c (Å): 4.6847 4.6847 14.1159
angles (deg): 90.00 90.00 90.00
Closest atoms and distances in Å follow each position.
Sites, in units of the cell vectors:
Pr: 0.0000 0.0000 0.0000  12 Sn 3.31-3.39
Pa: 0.0000 0.0000 0.3391  12 Sn 3.26-3.31
Pa: 0.0000 0.0000 0.6609  12 Sn 3.26-3.31
Sn: 0.0000 0.5000 0.1735  8 Sn 3.28-3.39, 2 Pa 3.31, 2 Pr 3.39
Sn: 0.0000 0.5000 0.5000  4 Pa 3.26, 8 Sn 3.29-3.31
Sn: 0.0000 0.5000 0.8265  8 Sn 3.28-3.39, 2 Pa 3.31, 2 Pr 3.39
Sn: 0.5000 0.0000 0.1735  8 Sn 3.28-3.39, 2 Pa 3.31, 2 Pr 3.39
Sn: 0.5000 0.0000 0.5000  4 Pa 3.26, 8 Sn 3.29-3.31
Sn: 0.5000 0.0000 0.8265  8 Sn 3.28-3.39, 2 Pa 3.31, 2 Pr 3.39
Sn: 0.5000 0.5000 0.0000  4 Pr 3.31, 8 Sn 3.39
Sn: 0.5000 0.5000 0.3362  8 Sn 3.28-3.29, 4 Pa 3.31
Sn: 0.5000 0.5000 0.6638  8 Sn 3.28-3.29, 4 Pa 3.31

Summary:
Its formation energy from the elements is -364 meV/atom. The mass density comes out at 8.96 g/cm3. The spin magnetization is 0.000 μB per atom. As for the symmetry: No. 123. The calculation puts the density of states at the Fermi level at 11.2 states/eV/f.u.

=====

[8]
DFT (PBE) results for an optimized crystal structure of Be3Co4P.

a b c (Å): 2.6566 3.7075 7.3853
angles (deg): 90.00 90.00 90.00
Closest atoms and distances in Å follow each position.
Sites, in units of the cell vectors:
Be: 0.0000 0.0000 0.0000  8 Co 2.28-2.32, 4 Be 2.54
Be: 0.0000 0.5000 0.2344  8 Co 2.18-2.37
Be: 0.0000 0.5000 0.7656  8 Co 2.18-2.37
Co: 0.5000 0.0000 0.2569  2 P 2.23, 6 Be 2.29-2.32
Co: 0.5000 0.0000 0.7431  2 P 2.23, 6 Be 2.29-2.32
Co: 0.5000 0.5000 0.0000  8 Be 2.18-2.28
Co: 0.5000 0.5000 0.5000  4 P 2.28, 4 Be 2.37
P: 0.0000 0.0000 0.5000  8 Co 2.23-2.28

Summary:
Its formation energy from the elements is -425 meV/atom. The mass density comes out at 6.71 g/cm3. The spin magnetization is 0.000 μB per atom. As for the symmetry: No. 47. The calculation puts the density of states at the Fermi level at 1.8 states/eV/f.u.

=====

- Look up the spin magnetization of the fourth one.
  0.000 μB per atom